# 1
VASP calculation (PBE) on a geometry-optimized ZnCuRu3 structure.

The value obtained for the energy above the most stable polymorph in this dataset is 0 meV/atom. Its formation energy is 1.60 eV/atom. The calculation puts the size of the total moment at 5.64 μB per cell.

Geometry as CIF:
```
data_ZnCuRu3
_cell_length_a 4.501
_cell_length_b 4.501
_cell_length_c 4.501
_cell_angle_alpha 90.00
_cell_angle_beta 90.00
_cell_angle_gamma 90.00
_symmetry_space_group_name_H-M 'P m -3 m'
_symmetry_Int_Tables_number 221
_symmetry_space_group_name_Hall '-P 4 2 3'
loop_
_atom_site_label
_atom_site_fract_x
_atom_site_fract_y
_atom_site_fract_z
_atom_site_occupancy
Zn1 0.000 0.000 0.000 1
Cu1 0.500 0.500 0.500 1
Ru1 0.000 0.500 0.500 1
```



# 2
VASP calculation (PBE) on a geometry-optimized ZnCu2Ru structure.

Its formation energy is 0.12 eV/atom. The calculation puts the size of the total moment at 0.00 μB per cell.

Geometry as CIF:
```
data_ZnCu2Ru
_cell_length_a 2.688
_cell_length_b 4.410
_cell_length_c 8.841
_cell_angle_alpha 90.00
_cell_angle_beta 90.00
_cell_angle_gamma 90.00
_symmetry_space_group_name_H-M 'I m m m'
_symmetry_Int_Tables_number 71
_symmetry_space_group_name_Hall '-I 2 2'
loop_
_atom_site_label
_atom_site_fract_x
_atom_site_fract_y
_atom_site_fract_z
_atom_site_occupancy
Zn1 0.000 0.000 0.000 1
Cu1 0.000 0.500 0.256 1
Ru1 0.000 0.000 0.500 1
```



# 3
VASP calculation (PBE) on a geometry-optimized Zn8CuRu2 structure.

Its formation energy is 0.00 eV/atom. The calculation puts the size of the total moment at 0.00 μB per cell.

Geometry as CIF:
```
data_Zn8CuRu2
_cell_length_a 7.794
_cell_length_b 10.126
_cell_length_c 4.209
_cell_angle_alpha 90.00
_cell_angle_beta 90.00
_cell_angle_gamma 90.00
_symmetry_space_group_name_H-M 'C m m m'
_symmetry_Int_Tables_number 65
_symmetry_space_group_name_Hall '-C 2 2'
loop_
_atom_site_label
_atom_site_fract_x
_atom_site_fract_y
_atom_site_fract_z
_atom_site_occupancy
Zn1 0.000 0.247 0.000 1
Zn2 0.167 0.137 0.500 1
Zn3 0.172 0.500 0.000 1
Cu1 0.000 0.000 0.000 1
Ru1 0.000 0.380 0.500 1
```



# 4
VASP calculation (PBE) on a geometry-optimized Zn2CuRu2 structure.

The value obtained for the energy above the most stable polymorph in this dataset is 12 meV/atom. Its formation energy is 0.30 eV/atom. The calculation puts the size of the total moment at 2.02 μB per cell.

Geometry as CIF:
```
data_Zn2CuRu2
_cell_length_a 6.153
_cell_length_b 6.153
_cell_length_c 3.710
_cell_angle_alpha 90.00
_cell_angle_beta 90.00
_cell_angle_gamma 90.00
_symmetry_space_group_name_H-M 'P 4/m b m'
_symmetry_Int_Tables_number 127
_symmetry_space_group_name_Hall '-P 4 2ab'
loop_
_atom_site_label
_atom_site_fract_x
_atom_site_fract_y
_atom_site_fract_z
_atom_site_occupancy
Zn1 0.137 0.363 0.000 1
Cu1 0.000 0.000 0.000 1
Ru1 0.167 0.667 0.500 1
```



# 5
VASP calculation (PBE) on a geometry-optimized ZnCu2Ru structure.

Its formation energy is 0.10 eV/atom. The calculation puts the size of the total moment at 0.00 μB per cell.

Geometry as CIF:
```
data_ZnCu2Ru
_cell_length_a 2.630
_cell_length_b 4.311
_cell_length_c 4.620
_cell_angle_alpha 90.00
_cell_angle_beta 90.00
_cell_angle_gamma 90.00
_symmetry_space_group_name_H-M 'P m m 2'
_symmetry_Int_Tables_number 25
_symmetry_space_group_name_Hall 'P 2 -2'
loop_
_atom_site_label
_atom_site_fract_x
_atom_site_fract_y
_atom_site_fract_z
_atom_site_occupancy
Zn1 0.000 0.000 0.000 1
Cu1 0.000 0.500 0.658 1
Cu2 0.500 0.000 0.502 1
Ru1 0.500 0.500 0.162 1
```



# 6
VASP calculation (PBE) on a geometry-optimized ZnCu2Ru structure.

Its formation energy is 0.10 eV/atom. The calculation puts the size of the total moment at 0.00 μB per cell.

Geometry as CIF:
```
data_ZnCu2Ru
_cell_length_a 8.752
_cell_length_b 2.575
_cell_length_c 4.701
_cell_angle_alpha 90.00
_cell_angle_beta 99.52
_cell_angle_gamma 90.00
_symmetry_space_group_name_H-M 'C 1 m 1'
_symmetry_Int_Tables_number 8
_symmetry_space_group_name_Hall 'C -2y'
loop_
_atom_site_label
_atom_site_fract_x
_atom_site_fract_y
_atom_site_fract_z
_atom_site_occupancy
Zn1 0.000 0.000 0.000 1
Cu1 0.249 0.500 0.257 1
Cu2 0.496 0.000 0.492 1
Ru1 0.247 0.000 0.753 1
```



# 7
VASP calculation (PBE) on a geometry-optimized ZnCu2Ru structure.

Its formation energy is 0.14 eV/atom. The calculation puts the size of the total moment at 0.14 μB per cell.

Geometry as CIF:
```
data_ZnCu2Ru
_cell_length_a 2.793
_cell_length_b 4.399
_cell_length_c 8.619
_cell_angle_alpha 90.00
_cell_angle_beta 90.00
_cell_angle_gamma 90.00
_symmetry_space_group_name_H-M 'C m m 2'
_symmetry_Int_Tables_number 35
_symmetry_space_group_name_Hall 'C 2 -2'
loop_
_atom_site_label
_atom_site_fract_x
_atom_site_fract_y
_atom_site_fract_z
_atom_site_occupancy
Zn1 0.000 0.000 0.000 1
Cu1 0.000 0.000 0.485 1
Cu2 0.000 0.500 0.246 1
Ru1 0.000 0.500 0.742 1
```



# 8
VASP calculation (PBE) on a geometry-optimized ZnCuRu structure.

The value obtained for the energy above the most stable polymorph in this dataset is 580 meV/atom. Its formation energy is 0.52 eV/atom. The calculation puts the size of the total moment at 4.07 μB per cell.

Geometry as CIF:
```
data_ZnCuRu
_cell_length_a 5.695
_cell_length_b 5.695
_cell_length_c 5.695
_cell_angle_alpha 90.00
_cell_angle_beta 90.00
_cell_angle_gamma 90.00
_symmetry_space_group_name_H-M 'F -4 3 m'
_symmetry_Int_Tables_number 216
_symmetry_space_group_name_Hall 'F -4 2 3'
loop_
_atom_site_label
_atom_site_fract_x
_atom_site_fract_y
_atom_site_fract_z
_atom_site_occupancy
Zn1 0.000 0.000 0.000 1
Cu1 0.250 0.250 0.250 1
Ru1 0.000 0.000 0.500 1
```



# 9
VASP calculation (PBE) on a geometry-optimized Zn8Cu2Ru structure.

Its formation energy is -0.07 eV/atom. The calculation puts the size of the total moment at 0.00 μB per cell.

Geometry as CIF:
```
data_Zn8Cu2Ru
_cell_length_a 13.814
_cell_length_b 3.785
_cell_length_c 6.161
_cell_angle_alpha 90.00
_cell_angle_beta 108.61
_cell_angle_gamma 90.00
_symmetry_space_group_name_H-M 'C 1 2/m 1'
_symmetry_Int_Tables_number 12
_symmetry_space_group_name_Hall '-C 2y'
loop_
_atom_site_label
_atom_site_fract_x
_atom_site_fract_y
_atom_site_fract_z
_atom_site_occupancy
Zn1 0.045 0.000 0.231 1
Zn2 0.097 0.500 0.956 1
Zn3 0.138 0.000 0.685 1
Zn4 0.181 0.500 0.411 1
Cu1 0.230 0.000 0.142 1
Ru1 0.000 0.500 0.500 1
```



# 10
VASP calculation (PBE) on a geometry-optimized ZnCuRu structure.

The value obtained for the energy above the most stable polymorph in this dataset is 0 meV/atom. Its formation energy is -0.06 eV/atom. The calculation puts the size of the total moment at 0.00 μB per cell.

Geometry as CIF:
```
data_ZnCuRu
_cell_length_a 2.784
_cell_length_b 2.784
_cell_length_c 10.366
_cell_angle_alpha 90.00
_cell_angle_beta 90.00
_cell_angle_gamma 90.00
_symmetry_space_group_name_H-M 'P 4/n m m'
_symmetry_Int_Tables_number 129
loop_
_symmetry_equiv_pos_as_xyz
'x,y,z'
'-x,-y,-z'
'-y+1/2,x,z'
'y+1/2,-x,-z'
'-x+1/2,-y+1/2,z'
'x+1/2,y+1/2,-z'
'y,-x+1/2,z'
'-y,x+1/2,-z'
'x+1/2,-y,-z'
'-x+1/2,y,z'
'-y,-x,-z'
'y,x,z'
'-x,y+1/2,-z'
'x,-y+1/2,z'
'y+1/2,x+1/2,-z'
'-y+1/2,-x+1/2,z'
loop_
_atom_site_label
_atom_site_fract_x
_atom_site_fract_y
_atom_site_fract_z
_atom_site_occupancy
Zn1 0.250 0.250 0.240 1
Cu1 0.250 0.250 0.923 1
Ru1 0.250 0.250 0.581 1
```



# 11
VASP calculation (PBE) on a geometry-optimized ZnCuRu structure.

The value obtained for the energy above the most stable polymorph in this dataset is 154 meV/atom. Its formation energy is 0.10 eV/atom. The calculation puts the size of the total moment at 0.00 μB per cell.

Geometry as CIF:
```
data_ZnCuRu
_cell_length_a 2.6884
_cell_length_b 2.6884
_cell_length_c 6.4427
_cell_angle_alpha 90.00
_cell_angle_beta 90.00
_cell_angle_gamma 120.00
_symmetry_space_group_name_H-M 'P 3 m 1'
_symmetry_Int_Tables_number 156
_symmetry_space_group_name_Hall 'P 3 -2"'
loop_
_atom_site_label
_atom_site_fract_x
_atom_site_fract_y
_atom_site_fract_z
_atom_site_occupancy
Zn1 0.0000 0.0000 0.0000 1
Cu1 0.6667 0.3333 0.3262 1
Ru1 0.3333 0.6667 0.6611 1
```



# 12
VASP calculation (PBE) on a geometry-optimized ZnCuRu structure.

The value obtained for the energy above the most stable polymorph in this dataset is 223 meV/atom. Its formation energy is 0.17 eV/atom. The calculation puts the size of the total moment at 2.03 μB per cell.

Geometry as CIF:
```
data_ZnCuRu
_cell_length_a 2.823
_cell_length_b 4.436
_cell_length_c 13.025
_cell_angle_alpha 90.00
_cell_angle_beta 90.00
_cell_angle_gamma 90.00
_symmetry_space_group_name_H-M 'F m m 2'
_symmetry_Int_Tables_number 42
_symmetry_space_group_name_Hall 'F 2 -2'
loop_
_atom_site_label
_atom_site_fract_x
_atom_site_fract_y
_atom_site_fract_z
_atom_site_occupancy
Zn1 0.000 0.000 0.000 1
Cu1 0.000 0.000 0.661 1
Ru1 0.000 0.000 0.331 1
```